# 1
Material: AcPrHo6
Method: DFT, GGA-PBE
State: relaxed

Cell and atoms, written as POSCAR:
```
AcPrHo6
1.0
5.1017 0.0000 0.0000
0.0000 5.1017 0.0000
0.0000 0.0000 10.1980
Ho Ac Pr
6 1 1
Direct
0.5000 0.5000 0.5000
0.5000 0.0000 0.2559
0.0000 0.5000 0.2559
0.5000 0.5000 0.0000
0.0000 0.5000 0.7441
0.5000 0.0000 0.7441
0.0000 0.0000 0.0000
0.0000 0.0000 0.5000
```

The distance to the lowest polymorph of the same formula is 0.00 eV per formula unit. The energy of formation from the pure elements is 0.04 eV/atom.



# 2
Material: RbYCo2
Method: DFT, GGA-PBE
State: relaxed

Cell and atoms, written as POSCAR:
```
RbYCo2
1.0
0.0000 3.5582 3.5582
3.5582 0.0000 3.5582
3.5582 3.5582 0.0000
Co Y Rb
2 1 1
Direct
0.2500 0.2500 0.2500
0.7500 0.7500 0.7500
0.5000 0.5000 0.5000
0.0000 0.0000 0.0000
```

The distance to the lowest polymorph of the same formula is 0.20 eV per formula unit. The energy of formation from the pure elements is 1.03 eV/atom.



Number 1 is which compound? AcPrHo6



What is the energy of formation from the pure elements in the second record? 1.03 eV/atom